(1)
Here is a relaxed structure of RbBaHoS3 from the Open Quantum Materials Database. Energies are from PBE.

Properties
Distance to the lowest polymorph of the same formula ... 3 meV per atom
Electronic total energy ... -4.9267 eV/atom
Space group ... Cmcm (63)

Cell: 9.6276 9.6276 11.8648 Å, 90.00 90.00 154.92°
Atoms (fractional coordinates):
Rb: 0.1319 0.8681 0.7500
Rb: 0.8681 0.1319 0.2500
Ba: 0.1154 0.8846 0.2500
Ba: 0.8846 0.1154 0.7500
Ho: 0.5000 0.5000 0.0000
Ho: 0.5000 0.5000 0.5000
S: 0.0962 0.9038 0.0027
S: 0.0962 0.9038 0.4973
S: 0.4971 0.5029 0.7500
S: 0.5029 0.4971 0.2500
S: 0.9038 0.0962 0.5027
S: 0.9038 0.0962 0.9973

(2)
Here is a relaxed structure of RbBaHoSe3 from the Open Quantum Materials Database. Energies are from PBE.

Properties
Electronic total energy ... -4.5245 eV/atom
Space group ... Cmcm (63)

Cell: 10.1195 10.1195 12.3810 Å, 90.00 90.00 155.29°
Atoms (fractional coordinates):
Rb: 0.1336 0.8664 0.7500
Rb: 0.8664 0.1336 0.2500
Ba: 0.1097 0.8903 0.2500
Ba: 0.8903 0.1097 0.7500
Ho: 0.5000 0.5000 0.0000
Ho: 0.5000 0.5000 0.5000
Se: 0.0969 0.9031 0.0017
Se: 0.0969 0.9031 0.4983
Se: 0.4985 0.5015 0.2500
Se: 0.5015 0.4985 0.7500
Se: 0.9031 0.0969 0.5017
Se: 0.9031 0.0969 0.9983

(3)
Here is a relaxed structure of RbBaHoSe3 from the Open Quantum Materials Database. Energies are from PBE.

Properties
Electronic total energy ... -4.5234 eV/atom
Space group ... Pnma (62)

Cell: 12.4019 4.3361 19.3791 Å, 90.00 90.00 90.00°
Atoms (fractional coordinates):
Rb: 0.2356 0.2500 0.1143
Rb: 0.2644 0.7500 0.6143
Rb: 0.7356 0.2500 0.3857
Rb: 0.7644 0.7500 0.8857
Ba: 0.2357 0.2500 0.3618
Ba: 0.2643 0.7500 0.8618
Ba: 0.7357 0.2500 0.1382
Ba: 0.7643 0.7500 0.6382
Ho: 0.0137 0.2500 0.7502
Ho: 0.4863 0.7500 0.2502
Ho: 0.5137 0.2500 0.7498
Ho: 0.9863 0.7500 0.2498
Se: 0.0122 0.7500 0.6512
Se: 0.0162 0.7500 0.8493
Se: 0.2362 0.7500 0.2484
Se: 0.2638 0.2500 0.7484
Se: 0.4838 0.2500 0.3493
Se: 0.4878 0.2500 0.1512
Se: 0.5122 0.7500 0.8488
Se: 0.5162 0.7500 0.6507
Se: 0.7362 0.7500 0.2516
Se: 0.7638 0.2500 0.7516
Se: 0.9838 0.2500 0.1507
Se: 0.9878 0.2500 0.3488

(4)
Here is a relaxed structure of RbBaHoTe3 from the Open Quantum Materials Database. Energies are from PBE.

Properties
Distance to the lowest polymorph of the same formula ... 203 meV per atom
Electronic total energy ... -4.0415 eV/atom
Space group ... Cmcm (63)

Cell: 10.6760 10.6760 13.3138 Å, 90.00 90.00 154.82°
Atoms (fractional coordinates):
Rb: 0.1416 0.8584 0.7500
Rb: 0.8584 0.1416 0.2500
Ba: 0.0998 0.9002 0.2500
Ba: 0.9002 0.0998 0.7500
Ho: 0.5000 0.5000 0.0000
Ho: 0.5000 0.5000 0.5000
Te: 0.1012 0.8988 0.0027
Te: 0.1012 0.8988 0.4973
Te: 0.4875 0.5125 0.2500
Te: 0.5125 0.4875 0.7500
Te: 0.8988 0.1012 0.5027
Te: 0.8988 0.1012 0.9973

(5)
Here is a relaxed structure of RbBaHoTe3 from the Open Quantum Materials Database. Energies are from PBE.

Properties
Distance to the lowest polymorph of the same formula ... 0 meV per atom
Electronic total energy ... -4.2445 eV/atom
Space group ... Pnma (62)

Cell: 14.1693 4.6148 15.0241 Å, 90.00 90.00 90.00°
Atoms (fractional coordinates):
Rb: 0.1196 0.2500 0.0716
Rb: 0.3804 0.7500 0.5716
Rb: 0.6196 0.2500 0.4284
Rb: 0.8804 0.7500 0.9284
Ba: 0.1282 0.2500 0.4191
Ba: 0.3718 0.7500 0.9191
Ba: 0.6282 0.2500 0.0809
Ba: 0.8718 0.7500 0.5809
Ho: 0.1015 0.2500 0.7433
Ho: 0.3985 0.7500 0.2433
Ho: 0.6015 0.2500 0.7567
Ho: 0.8985 0.7500 0.2567
Te: 0.1068 0.7500 0.2540
Te: 0.1222 0.7500 0.6005
Te: 0.1321 0.7500 0.8755
Te: 0.3679 0.2500 0.3755
Te: 0.3778 0.2500 0.1005
Te: 0.3932 0.2500 0.7540
Te: 0.6068 0.7500 0.2460
Te: 0.6222 0.7500 0.8995
Te: 0.6321 0.7500 0.6245
Te: 0.8679 0.2500 0.1245
Te: 0.8778 0.2500 0.3995
Te: 0.8932 0.2500 0.7460

(6)
Here is a relaxed structure of BaHoRe from the Open Quantum Materials Database. Energies are from PBE.

Properties
Distance to the lowest polymorph of the same formula ... 0 meV per atom
Electronic total energy ... -4.8386 eV/atom
Space group ... F-43m (216)

Cell: 5.0006 5.0006 5.0006 Å, 60.00 60.00 60.00°
Atoms (fractional coordinates):
Ba: 0.0000 0.0000 0.0000
Ho: 0.2500 0.2500 0.2500
Re: 0.5000 0.5000 0.5000

(7)
Here is a relaxed structure of BaHoRe from the Open Quantum Materials Database. Energies are from PBE.

Properties
Distance to the lowest polymorph of the same formula ... 375 meV per atom
Electronic total energy ... -4.4635 eV/atom
Space group ... F-43m (216)

Cell: 4.9261 4.9261 4.9261 Å, 60.00 60.00 60.00°
Atoms (fractional coordinates):
Ba: 0.0000 0.0000 0.0000
Ho: 0.7500 0.7500 0.7500
Re: 0.2500 0.2500 0.2500

(8)
Here is a relaxed structure of BaHo2S4 from the Open Quantum Materials Database. Energies are from PBE.

Properties
Electronic total energy ... -6.0844 eV/atom
Space group ... Pnma (62)

Cell: 12.2715 4.0383 14.5229 Å, 90.00 90.00 90.00°
Atoms (fractional coordinates):
Ba: 0.2434 0.2500 0.1609
Ba: 0.2566 0.7500 0.6609
Ba: 0.7434 0.2500 0.3391
Ba: 0.7566 0.7500 0.8391
Ho: 0.0683 0.2500 0.3913
Ho: 0.0780 0.2500 0.8980
Ho: 0.4220 0.7500 0.3980
Ho: 0.4317 0.7500 0.8913
Ho: 0.5683 0.2500 0.1087
Ho: 0.5780 0.2500 0.6020
Ho: 0.9220 0.7500 0.1020
Ho: 0.9317 0.7500 0.6087
S: 0.0217 0.7500 0.7828
S: 0.0801 0.2500 0.5767
S: 0.1243 0.7500 0.0225
S: 0.2081 0.7500 0.3368
S: 0.2919 0.2500 0.8368
S: 0.3757 0.2500 0.5225
S: 0.4199 0.7500 0.0767
S: 0.4783 0.2500 0.2828
S: 0.5217 0.7500 0.7172
S: 0.5801 0.2500 0.9233
S: 0.6243 0.7500 0.4775
S: 0.7081 0.7500 0.1632
S: 0.7919 0.2500 0.6632
S: 0.8757 0.2500 0.9775
S: 0.9199 0.7500 0.4233
S: 0.9783 0.2500 0.2172